The following is a DFT calculation (PBE) of Cs2RbNaSr after structural relaxation. Values from VASP.

Summary:
DOS at the Fermi energy = 5.374 states/eV per cell
Energy relative to the elements = 0.18 eV per atom
SG = P4/mmm
Spin magnetization = 0.0 μB per cell
Final energy = -4.78 eV per cell

```
&SYSTEM
  ibrav = 0, nat = 5, ntyp = 4
/
ATOMIC_SPECIES
Cs 132.91 Cs.upf
Rb 85.47 Rb.upf
Na 22.99 Na.upf
Sr 87.62 Sr.upf
CELL_PARAMETERS angstrom
7.725 0.000 0.000
0.000 7.725 0.000
0.000 0.000 7.415
ATOMIC_POSITIONS crystal
Cs 0.000 0.500 0.000
Cs 0.500 0.000 0.000
Rb 0.000 0.000 0.500
Na 0.500 0.500 0.000
Sr 0.500 0.500 0.500
```

---

The following is a DFT calculation (PBE) of LaSm2DySc after structural relaxation. Values from VASP.

Summary:
DOS at the Fermi energy = 15.722 states/eV per cell
Energy relative to the elements = 0.22 eV per atom
SG = Pmma
Spin magnetization = 0.0 μB per cell
Final energy = -48.43 eV per cell

```
&SYSTEM
  ibrav = 0, nat = 10, ntyp = 4
/
ATOMIC_SPECIES
La 138.91 La.upf
Sm 150.36 Sm.upf
Dy 162.50 Dy.upf
Sc 44.96 Sc.upf
CELL_PARAMETERS angstrom
6.221 0.000 0.000
0.000 7.815 0.000
0.000 0.000 6.758
ATOMIC_POSITIONS crystal
La 0.250 0.000 0.194
La 0.750 0.000 0.806
Sm 0.250 0.212 0.715
Sm 0.250 0.788 0.715
Sm 0.750 0.212 0.285
Sm 0.750 0.788 0.285
Dy 0.250 0.500 0.398
Dy 0.750 0.500 0.602
Sc 0.000 0.500 0.000
Sc 0.500 0.500 0.000
```